VASP calculation (PBE-GGA) on an optimized crystal structure of Li2CdCu2Au5.

extended XYZ file:
```
20
Lattice="9.356 0.000 0.000 0.000 9.356 0.000 0.000 0.000 4.072" Properties=species:S:1:pos:R:3 pbc="T T T"
Li 1.605 3.074 0.000
Li 3.074 7.752 0.000
Li 6.283 1.605 0.000
Li 7.752 6.283 0.000
Cd 0.000 0.000 0.000
Cd 4.678 4.678 0.000
Cu 1.146 5.825 0.000
Cu 3.532 1.146 0.000
Cu 5.825 8.210 0.000
Cu 8.210 3.532 0.000
Au 0.000 4.678 2.036
Au 0.759 7.458 2.036
Au 1.898 0.759 2.036
Au 2.780 5.437 2.036
Au 3.920 2.780 2.036
Au 4.678 0.000 2.036
Au 5.437 6.576 2.036
Au 6.576 3.920 2.036
Au 7.458 8.598 2.036
Au 8.598 1.898 2.036
```

DFT formation energy, eV per formula unit: -2.2
Magnetic moment, μB/f.u.: 0.00
SG: P4/mbm, No. 127
Energy, eV/atom: -3.1509